Computed, not measured: crystalline TlRhBr2 at its relaxed geometry at the PBE level of DFT.

Geometry as CIF:
```
data_TlRhBr2
_chemical_formula_sum 'Tl2 Rh2 Br4'
_cell_length_a 3.666
_cell_length_b 6.680
_cell_length_c 9.016
_cell_angle_alpha 90.00
_cell_angle_beta 90.00
_cell_angle_gamma 90.00
_space_group_name_H-M_alt 'C m m m'
_space_group_IT_number 65
_space_group_name_Hall '-C 2 2'
loop_
_atom_site_label
_atom_site_type_symbol
_atom_site_fract_x
_atom_site_fract_y
_atom_site_fract_z
Tl1 Tl 0.000 0.000 0.000
Rh1 Rh 0.000 0.000 0.500
Br1 Br 0.000 0.500 0.312
```

Formation energy (no corrections): -44 meV per atom
Magnetic moment: 0.87 Bohr magnetons per cell
Crystal system: orthorhombic
DOS at the Fermi energy: 5.23 states/eV per cell
Energy relative to the lowest polymorph listed for this composition: 254 meV/atom
VASP energy: -26.477 eV for the cell shown